# 1
CsBaAu2 after structural relaxation, computed with PBE.

Geometry as POSCAR:
```
CsBaAu2
1.0
2.420 1.397 8.497
-2.420 1.397 8.497
0.000 -2.794 8.497
Cs Ba Au
1 1 2
Cartesian
0.000 0.000 0.000 Cs
0.000 0.000 12.745 Ba
0.000 0.000 6.068 Au
0.000 0.000 19.423 Au
```

Relative energy among the computed polymorphs ... 44 meV/atom
N(E_F) ... 2.69 states/eV/f.u.
Formation energy from the elements ... -471 meV per atom

# 2
CsBa8Au4 after structural relaxation, computed with PBE.

Geometry as POSCAR:
```
CsBa8Au4
1.0
-8.484 8.484 2.454
8.484 -8.484 2.454
8.484 8.484 -2.454
Cs Ba Au
1 8 4
Cartesian
0.000 0.000 0.000 Cs
5.730 0.716 0.000 Ba
5.850 5.157 0.000 Ba
7.768 -2.754 2.454 Ba
3.327 -2.634 2.454 Ba
5.157 11.118 0.000 Ba
0.716 11.238 0.000 Ba
2.634 3.327 2.454 Ba
2.754 7.768 2.454 Ba
11.436 2.580 0.000 Au
2.580 5.532 0.000 Au
5.904 2.952 2.454 Au
-2.952 5.904 2.454 Au
```

N(E_F) ... 9.30 states/eV/f.u.
Formation energy from the elements ... -468 meV per atom

# 3
CsBa2Au after structural relaxation, computed with PBE.

Geometry as POSCAR:
```
CsBa2Au
1.0
4.194 0.000 0.000
0.000 4.194 0.000
0.000 0.000 12.067
Cs Ba Au
1 2 1
Cartesian
0.000 0.000 0.000 Cs
2.097 2.097 4.162 Ba
2.097 2.097 7.906 Ba
0.000 0.000 6.034 Au
```

Relative energy among the computed polymorphs ... 72 meV/atom
N(E_F) ... 4.47 states/eV/f.u.
Formation energy from the elements ... -288 meV per atom

# 4
CsBaAu after structural relaxation, computed with PBE.

Geometry as POSCAR:
```
CsBaAu
1.0
-2.139 2.139 8.279
2.139 -2.139 8.279
2.139 2.139 -8.279
Cs Ba Au
1 1 1
Cartesian
0.000 0.000 0.000 Cs
0.000 0.000 4.037 Ba
0.000 0.000 10.798 Au
```

Relative energy among the computed polymorphs ... 0 meV/atom
N(E_F) ... 2.96 states/eV/f.u.
Formation energy from the elements ... -321 meV per atom

# 5
CsBa2Au after structural relaxation, computed with PBE.

Geometry as POSCAR:
```
CsBa2Au
1.0
4.902 0.000 0.000
0.000 6.695 0.000
-2.432 0.000 15.544
Cs Ba Au
2 4 2
Cartesian
0.004 1.674 1.649 Cs
2.466 5.021 13.894 Cs
0.009 1.674 6.742 Ba
0.011 1.674 11.161 Ba
2.459 5.021 4.383 Ba
2.461 5.021 8.802 Ba
0.010 5.021 6.500 Au
2.460 1.674 9.044 Au
```

Relative energy among the computed polymorphs ... 21 meV/atom
N(E_F) ... 3.83 states/eV/f.u.
Formation energy from the elements ... -339 meV per atom

# 6
Cs2BaAuF6 after structural relaxation, computed with PBE.

Geometry as POSCAR:
```
Cs2BaAuF6
1.0
-3.519 3.519 4.673
3.519 -3.519 4.673
3.519 3.519 -4.673
Cs Ba Au F
2 1 1 6
Cartesian
3.519 0.000 2.337 Cs
0.000 3.519 2.337 Cs
0.000 0.000 0.000 Ba
0.000 0.000 4.673 Au
1.794 1.794 0.000 F
1.725 -1.725 4.673 F
0.000 0.000 2.571 F
0.000 0.000 6.775 F
-1.725 1.725 4.673 F
1.725 1.725 4.673 F
```

N(E_F) ... 0.00 states/eV/f.u.
Formation energy from raw total energies ... -2.448 eV per atom

# 7
CsBa2FeAu after structural relaxation, computed with PBE.

Geometry as POSCAR:
```
CsBa2FeAu
1.0
6.355 0.000 0.000
0.000 6.355 0.000
0.000 0.000 6.649
Cs Ba Fe Au
1 2 1 1
Cartesian
0.000 0.000 0.000 Cs
0.000 3.178 3.324 Ba
3.178 0.000 3.324 Ba
3.178 3.178 0.000 Fe
0.000 0.000 3.324 Au
```

N(E_F) ... 11.03 states/eV/f.u.
Formation energy from the elements ... 509 meV per atom

# 8
CsBaH2Au after structural relaxation, computed with PBE.

Geometry as POSCAR:
```
CsBaH2Au
1.0
5.212 0.000 0.000
0.000 5.212 0.000
0.000 0.000 6.492
Cs Ba H Au
1 1 2 1
Cartesian
0.000 0.000 0.000 Cs
2.606 2.606 3.246 Ba
0.000 2.606 3.246 H
2.606 0.000 3.246 H
2.606 2.606 0.000 Au
```

Raw total energy ... -0.2070 Ry/atom

# 9
Cs2BaH6Au2 after structural relaxation, computed with PBE.

Geometry as POSCAR:
```
Cs2BaH6Au2
1.0
5.478 -2.949 0.000
5.478 2.949 0.000
-3.089 0.000 7.683
Cs Ba H Au
2 1 6 2
Cartesian
1.627 0.000 1.104 Cs
6.239 0.000 6.579 Cs
-1.545 0.000 3.841 Ba
4.300 1.424 1.647 H
1.213 0.000 4.608 H
3.566 1.424 6.036 H
4.300 -1.424 1.647 H
6.653 0.000 3.075 H
3.566 -1.424 6.036 H
2.683 0.000 5.464 Au
5.183 0.000 2.219 Au
```

Raw total energy ... -0.2203 Ry/atom

# 10
CsBaHgAu after structural relaxation, computed with PBE.

Geometry as POSCAR:
```
CsBaHgAu
1.0
0.000 4.236 4.236
4.236 0.000 4.236
4.236 4.236 0.000
Cs Ba Hg Au
1 1 1 1
Cartesian
0.000 0.000 0.000 Cs
4.236 4.236 4.236 Ba
6.354 6.354 6.354 Hg
2.118 2.118 2.118 Au
```

N(E_F) ... 4.19 states/eV/f.u.
Formation energy from the elements ... -307 meV per atom

# 11
Cs2BaAuI6 after structural relaxation, computed with PBE.

Geometry as POSCAR:
```
Cs2BaAuI6
1.0
-4.556 4.556 6.113
4.556 -4.556 6.113
4.556 4.556 -6.113
Cs Ba Au I
2 1 1 6
Cartesian
4.556 0.000 3.057 Cs
0.000 4.556 3.057 Cs
0.000 0.000 0.000 Ba
0.000 0.000 6.113 Au
2.377 2.377 0.000 I
2.178 -2.178 6.113 I
0.000 0.000 3.377 I
0.000 0.000 8.850 I
-2.178 2.178 6.113 I
2.178 2.178 6.113 I
```

N(E_F) ... 9.31 states/eV/f.u.
Formation energy from raw total energies ... -1.063 eV per atom

# 12
CsK2BaAu after structural relaxation, computed with PBE.

Geometry as POSCAR:
```
CsK2BaAu
1.0
6.898 0.000 0.000
0.000 6.898 0.000
0.000 0.000 6.466
Cs K Ba Au
1 2 1 1
Cartesian
0.000 0.000 0.000 Cs
0.000 3.449 3.233 K
3.449 0.000 3.233 K
3.449 3.449 0.000 Ba
3.449 3.449 3.233 Au
```

N(E_F) ... 4.63 states/eV/f.u.
Formation energy from the elements ... -139 meV per atom

no.,magnetic moment (Bohr magnetons per cell),V (A^3/atom)
1,0.00,43.1
2,0.00,54.4
3,0.05,53.1
4,0.00,50.5
5,0.00,63.8
6,1.00,23.2
7,3.10,53.7
8,0.00,35.3
9,0.00,22.6
10,0.00,38.0
11,0.00,50.7
12,0.00,61.5